Material: YTmO3
Method: DFT, meta-GGA SCAN
State: PBEsol geometry

```
20
Lattice="5.8321 0.0000 0.0000 0.0000 8.2347 0.0000 0.0000 0.0000 5.5644" Properties=species:S:1:pos:R:3 pbc="T T T"
Y 0.3281 2.0587 0.1181
Y 2.5880 6.1761 2.9003
Y 3.2441 2.0587 2.6641
Y 5.5040 6.1761 5.4463
Tm 0.0000 0.0000 2.7822
Tm 0.0000 4.1174 2.7822
Tm 2.9160 0.0000 0.0000
Tm 2.9160 4.1174 0.0000
O 0.4521 6.1761 1.9564
O 1.1114 4.7744 4.5232
O 1.1114 7.5778 4.5232
O 1.8047 0.6570 1.7410
O 1.8047 3.4604 1.7410
O 2.4640 2.0587 4.7386
O 3.3681 6.1761 0.8258
O 4.0274 4.7744 3.8235
O 4.0274 7.5778 3.8235
O 4.7207 0.6570 1.0412
O 4.7207 3.4604 1.0412
O 5.3800 2.0587 3.6080
```

Computed properties:
- SG: Pnma (62)
- ρ: 7.60 Mg/m³
- Raw formation energy: -3904 meV/atom
- Final energy: -23.5775 eV per atom

Material: YTmO3
Method: DFT, meta-GGA SCAN
State: PBEsol geometry

```
30
Lattice="6.2968 0.0000 0.0000 -3.1484 5.4532 0.0000 0.0000 0.0000 12.4903" Properties=species:S:1:pos:R:3 pbc="T T T"
Y 0.0000 0.0000 0.0000
Y 0.0000 0.0000 6.2452
Y 0.0000 3.6355 0.4328
Y 0.0000 3.6355 6.6780
Y 3.1484 1.8177 0.4328
Y 3.1484 1.8177 6.6780
Tm -1.0487 1.8165 3.3668
Tm -2.0997 3.6367 9.6120
Tm 2.0975 0.0000 3.3668
Tm 1.0487 1.8165 9.6120
Tm 4.1993 0.0000 9.6120
Tm 2.0997 3.6367 3.3668
O 0.0000 0.0000 3.7808
O 0.0000 0.0000 10.0260
O -0.9634 1.6686 1.2077
O -1.1429 1.9795 5.5089
O -2.0055 3.4737 11.7541
O -2.1850 3.7846 7.4529
O 1.9267 0.0000 1.2077
O 0.9634 1.6686 7.4529
O 0.0000 3.6355 3.0288
O 0.0000 3.6355 9.2740
O 2.2857 0.0000 5.5089
O 1.1429 1.9795 11.7541
O 4.0111 0.0000 11.7541
O 2.0055 3.4737 5.5089
O 3.1484 1.8177 3.0288
O 3.1484 1.8177 9.2740
O 4.3701 0.0000 7.4529
O 2.1850 3.7846 1.2077
```

Computed properties:
- SG: P6_3cm (185)
- ρ: 7.10 Mg/m³
- Raw formation energy: -3907 meV/atom
- Final energy: -23.5807 eV per atom

Material: Tm2Zr2O7
Method: DFT, meta-GGA SCAN
State: PBEsol geometry

```
22
Lattice="0.0000 5.1719 5.1719 5.1719 0.0000 5.1719 5.1719 5.1719 0.0000" Properties=species:S:1:pos:R:3 pbc="T T T"
Tm 0.0000 0.0000 0.0000
Tm 2.5860 2.5860 0.0000
Tm 2.5860 0.0000 2.5860
Tm 0.0000 2.5860 2.5860
Zr 5.1719 2.5860 2.5860
Zr 2.5860 5.1719 2.5860
Zr 2.5860 2.5860 5.1719
Zr 5.1719 5.1719 5.1719
O 1.2930 1.2930 1.2930
O 3.8790 3.8790 1.6129
O 3.8790 1.6129 3.8790
O 6.1450 3.8790 3.8790
O 6.4649 6.4649 4.1988
O 6.4649 4.1988 6.4649
O 8.7310 6.4649 6.4649
O 1.6129 3.8790 3.8790
O 3.8790 6.1450 3.8790
O 3.8790 3.8790 6.1450
O 4.1988 6.4649 6.4649
O 6.4649 8.7310 6.4649
O 6.4649 6.4649 8.7310
O 9.0509 9.0509 9.0509
```

Computed properties:
- SG: Fd-3m (227)
- ρ: 7.59 Mg/m³
- Raw formation energy: -3817 meV/atom
- Final energy: -22.7875 eV per atom

Material: UO3
Method: DFT, meta-GGA SCAN
State: PBEsol geometry

```
32
Lattice="-3.4500 3.4500 9.8072 3.4500 -3.4500 9.8072 3.4500 3.4500 -9.8072" Properties=species:S:1:pos:R:3 pbc="T T T"
U 0.0000 0.0000 0.0000
U 1.7250 1.7250 -4.9036
U 1.7250 -1.7250 4.9036
U 3.4500 1.7250 -1.1908
U 0.0000 1.7250 3.7128
U 0.0000 3.4500 0.0000
U 3.4500 1.7250 6.0944
U 0.0000 1.7250 10.9980
O 3.4500 0.0887 1.2848
O 2.0665 1.7250 -3.0380
O 4.8336 1.7250 -3.0380
O 0.0000 0.3415 1.8656
O 3.4500 3.0458 -5.1943
O 3.4500 -0.4042 5.1943
O 1.3208 1.7250 -0.2907
O 2.1292 -1.7250 9.5165
O 1.8138 1.7250 3.6188
O 5.0863 1.7250 3.6188
O 0.0000 0.0887 8.5224
O 3.4500 0.3415 7.9416
O 0.0000 3.1086 1.8656
O 3.4500 3.3613 1.2848
O -1.6363 1.7250 6.1884
O 1.6363 1.7250 6.1884
O 1.3208 5.1750 0.2907
O 2.1292 1.7250 10.0979
O 0.0000 3.8543 4.6129
O 0.0000 0.4042 15.0015
O 3.4500 3.1086 7.9416
O -1.3835 1.7250 12.8452
O 1.3835 1.7250 12.8452
O 0.0000 3.3613 8.5224
```

Computed properties:
- SG: I4_1/amd (141)
- ΔE to the lowest computed polymorph: 49 meV per atom
- ρ: 8.14 Mg/m³
- Raw formation energy: -3173 meV/atom
- Final energy: -33.7281 eV per atom

Material: UO3
Method: DFT, meta-GGA SCAN
State: PBEsol geometry

```
4
Lattice="4.1270 0.0000 0.0000 0.0000 4.1270 0.0000 0.0000 0.0000 4.1270" Properties=species:S:1:pos:R:3 pbc="T T T"
U 0.0000 0.0000 0.0000
O 0.0000 0.0000 2.0635
O 0.0000 2.0635 0.0000
O 2.0635 0.0000 0.0000
```

Computed properties:
- SG: Pm-3m (221)
- ΔE to the lowest computed polymorph: 0 meV per atom
- ρ: 6.76 Mg/m³
- Raw formation energy: -3222 meV/atom
- Final energy: -33.7772 eV per atom

Material: YU2O6
Method: DFT, meta-GGA SCAN
State: PBEsol geometry

```
9
Lattice="-1.8838 2.6570 5.6126 1.8838 -2.6570 5.6126 1.8838 2.6570 -5.6126" Properties=species:S:1:pos:R:3 pbc="T T T"
Y 0.0000 0.0000 0.0000
U 0.0000 0.0000 3.7615
U 0.0000 0.0000 7.4637
O 1.8838 -1.3104 3.7035
O 1.8838 1.3707 0.0000
O 0.0000 1.3466 1.9091
O 1.8838 1.3104 3.7035
O 0.0000 1.2863 5.6126
O 0.0000 3.9674 1.9091
```

Computed properties:
- SG: Immm (71)
- ρ: 9.77 Mg/m³
- Raw formation energy: -3629 meV/atom
- Final energy: -33.8828 eV per atom

Material: Y3U2O10
Method: DFT, meta-GGA SCAN
State: PBEsol geometry

```
15
Lattice="5.8287 -2.6434 0.0000 5.8287 2.6434 0.0000 -5.7008 0.0000 5.9809" Properties=species:S:1:pos:R:3 pbc="T T T"
Y 0.0000 0.0000 0.0000
Y 1.2331 0.0000 3.5673
Y 4.7234 0.0000 2.4137
U -2.2213 0.0000 4.7614
U 8.1778 0.0000 1.2195
O -0.5810 1.2821 4.2346
O 4.0026 1.3236 0.6196
O 2.9782 1.4031 2.9905
O 1.9539 1.3236 5.3614
O 6.5375 1.2821 1.7463
O -0.5810 -1.2821 4.2346
O 4.0026 -1.3236 0.6196
O 2.9782 -1.4031 2.9905
O 1.9539 -1.3236 5.3614
O 6.5375 -1.2821 1.7463
```

Computed properties:
- SG: C2/m (12)
- ρ: 8.13 Mg/m³
- Raw formation energy: -3753 meV/atom
- Final energy: -27.2797 eV per atom

Material: V4O9
Method: DFT, meta-GGA SCAN
State: PBEsol geometry

```
52
Lattice="16.9297 0.0000 0.0000 0.0000 3.6330 0.0000 0.0000 0.0000 9.4555" Properties=species:S:1:pos:R:3 pbc="T T T"
V 0.4489 0.9083 2.1973
V 1.5220 2.7248 4.4267
V 2.5169 2.7248 7.7749
V 3.5439 0.9083 0.5040
V 4.9210 2.7248 5.2318
V 5.9479 0.9083 3.0472
V 6.9429 0.9083 9.1545
V 8.0160 2.7248 6.9250
V 8.9138 0.9083 2.5305
V 9.9868 2.7248 0.3010
V 10.9818 2.7248 6.4083
V 12.0088 0.9083 4.2237
V 13.3858 2.7248 8.9515
V 14.4128 0.9083 1.6806
V 15.4078 0.9083 5.0288
V 16.4808 2.7248 7.2582
O 0.5648 2.7248 2.7051
O 0.7114 2.7248 8.4811
O 1.0324 0.9083 4.2130
O 1.4398 2.7248 6.1814
O 1.9192 0.9083 1.3184
O 2.6309 0.9083 8.0003
O 3.1407 2.7248 4.1873
O 3.4133 2.7248 0.0475
O 4.0017 2.7248 6.6373
O 4.4632 0.9083 1.9095
O 5.0516 0.9083 4.7753
O 5.3242 0.9083 8.9151
O 5.8340 2.7248 3.2726
O 6.5457 2.7248 6.0462
O 7.0251 0.9083 1.4536
O 7.4324 2.7248 8.9408
O 7.7535 0.9083 3.7534
O 7.9001 0.9083 7.4328
O 9.0297 2.7248 2.0227
O 9.1762 2.7248 5.7022
O 9.4973 0.9083 0.5147
O 9.9046 2.7248 8.0019
O 10.3840 0.9083 3.4093
O 11.0957 0.9083 6.1829
O 11.6055 2.7248 0.5404
O 11.8781 2.7248 4.6802
O 12.4666 2.7248 7.5460
O 12.9280 0.9083 2.8183
O 13.5165 0.9083 9.4080
O 13.7891 0.9083 5.2682
O 14.2989 2.7248 1.4552
O 15.0106 2.7248 8.1371
O 15.4900 0.9083 3.2741
O 15.8973 2.7248 5.2425
O 16.2184 0.9083 0.9744
O 16.3649 0.9083 6.7505
```

Computed properties:
- SG: Pnma (62)
- ρ: 3.97 Mg/m³
- Raw formation energy: -2560 meV/atom
- Final energy: -12.2546 eV per atom

Material: VWO4
Method: DFT, meta-GGA SCAN
State: PBEsol geometry

```
24
Lattice="4.6051 0.0000 0.0000 0.0000 10.9992 0.0000 -0.0831 0.0000 4.8666" Properties=species:S:1:pos:R:3 pbc="T T T"
V -0.0208 0.6307 1.2166
V -0.0623 10.3685 3.6499
V 2.2402 4.7185 3.6499
V 2.2818 6.2807 1.2166
W -0.0208 3.5568 1.2166
W -0.0623 7.4424 3.6499
W 2.2402 2.0618 3.6499
W 2.2818 8.9374 1.2166
O 1.0570 2.1128 2.0941
O 1.0155 8.8864 4.5274
O 1.0392 0.7164 4.4778
O 1.0808 10.2828 2.0445
O 1.0820 3.3978 4.5609
O 1.1235 7.6014 2.1276
O 1.1563 4.8230 2.0272
O 1.1147 6.1762 4.4605
O 3.4073 4.8230 0.4061
O 3.3657 6.1762 2.8394
O 3.3984 3.3978 2.7390
O 3.4400 7.6014 0.3057
O 3.4412 0.7164 2.8221
O 3.4827 10.2828 0.3888
O 3.5065 2.1128 0.3392
O 3.4650 8.8864 2.7725
```

Computed properties:
- SG: P2/c (13)
- ρ: 8.05 Mg/m³
- Raw formation energy: -2326 meV/atom
- Final energy: -21.0096 eV per atom

Material: Y2VO5
Method: DFT, meta-GGA SCAN
State: PBEsol geometry

```
32
Lattice="7.4989 -3.3808 0.0000 7.4989 3.3808 0.0000 -5.3868 0.0000 8.6695" Properties=species:S:1:pos:R:3 pbc="T T T"
Y 4.5894 2.4080 1.4679
Y 4.0862 1.7589 4.7248
Y 2.8315 1.7589 8.2795
Y 7.7151 2.4080 2.8669
Y 1.8960 -2.4080 5.8026
Y 6.7796 -1.7589 0.3901
Y 5.5249 -1.7589 3.9447
Y 5.0217 -2.4080 7.2017
V 1.0128 0.6513 5.9468
V 3.7062 -0.6513 1.6121
V 5.9049 0.6513 7.0575
V 8.5983 -0.6513 2.7227
O -0.6882 1.0549 5.7757
O 2.1107 2.0947 5.9966
O 6.6698 2.6817 0.8410
O 5.6346 2.6817 3.4938
O 4.1996 0.4701 0.3348
O 4.8070 2.0947 7.0077
O 2.0052 -1.0549 1.4410
O 1.5062 -0.4701 4.6695
O 4.4239 0.1210 3.0494
O 1.7306 -0.1210 7.3841
O 7.8805 0.1210 1.2854
O 5.1871 -0.1210 5.6202
O 8.1048 0.4701 4.0000
O 7.6059 1.0549 7.2286
O 4.8041 -2.0947 1.6619
O 5.4115 -0.4701 8.3348
O 3.9765 -2.6817 5.1757
O 2.9412 -2.6817 7.8286
O 7.5004 -2.0947 2.6729
O 10.2992 -1.0549 2.8938
```

Computed properties:
- SG: C2/c (15)
- ρ: 4.67 Mg/m³
- Raw formation energy: -3456 meV/atom
- Final energy: -16.4974 eV per atom

Material: Y2V3O9
Method: DFT, meta-GGA SCAN
State: PBEsol geometry

```
56
Lattice="15.9398 0.0000 0.0000 0.0000 7.4390 0.0000 0.0000 0.0000 5.1772" Properties=species:S:1:pos:R:3 pbc="T T T"
Y 0.2320 1.8597 0.0524
Y 2.9618 1.8597 2.5398
Y 5.0081 5.5792 5.1284
Y 7.7379 5.5792 2.6410
Y 8.2019 1.8597 2.5362
Y 10.9317 1.8597 0.0488
Y 12.9780 5.5792 2.6374
Y 15.7078 5.5792 5.1248
V 0.0000 0.0000 2.5886
V 0.0000 3.7195 2.5886
V 2.6733 3.7659 0.0002
V 2.6733 7.3926 0.0002
V 5.2966 0.0464 2.5887
V 5.2966 3.6731 2.5887
V 7.9699 0.0000 0.0000
V 7.9699 3.7195 0.0000
V 10.6432 3.7659 2.5884
V 10.6432 7.3926 2.5884
V 13.2665 0.0464 5.1770
V 13.2665 3.6731 5.1770
O 0.1204 5.5792 2.2079
O 1.0300 3.9119 4.1755
O 1.0300 7.2466 4.1755
O 1.5272 0.4331 1.5026
O 1.5272 3.2864 1.5026
O 2.5141 1.8597 4.7301
O 2.6637 5.5792 0.2975
O 3.8249 3.9425 3.7239
O 3.8249 7.2160 3.7239
O 4.1450 0.2230 1.1353
O 4.1450 3.4965 1.1353
O 5.3063 1.8597 2.8860
O 5.4558 5.5792 2.1415
O 6.4427 4.1526 4.0911
O 6.4427 7.0059 4.0911
O 6.9399 0.1924 1.5870
O 6.9399 3.5271 1.5870
O 7.8495 1.8597 4.7965
O 8.0903 5.5792 0.3806
O 8.9999 3.9119 3.5902
O 8.9999 7.2466 3.5902
O 9.4971 0.4331 1.0860
O 9.4971 3.2864 1.0860
O 10.4840 1.8597 3.0357
O 10.6336 5.5792 2.2911
O 11.7949 3.9425 4.0419
O 11.7949 7.2160 4.0419
O 12.1149 0.2230 1.4533
O 12.1149 3.4965 1.4533
O 13.2762 1.8597 4.8797
O 13.4257 5.5792 0.4471
O 14.4126 4.1526 3.6746
O 14.4126 7.0059 3.6746
O 14.9098 0.1924 1.0016
O 14.9098 3.5271 1.0016
O 15.8194 1.8597 2.9692
```

Computed properties:
- SG: Pnma (62)
- ρ: 5.14 Mg/m³
- Raw formation energy: -3104 meV/atom
- Final energy: -14.8348 eV per atom

Material: V2Zn2O7
Method: DFT, meta-GGA SCAN
State: PBEsol geometry

```
22
Lattice="3.7591 -4.1304 0.0000 3.7591 4.1304 0.0000 -3.6773 0.0000 9.4071" Properties=species:S:1:pos:R:3 pbc="T T T"
V -0.6533 2.1189 6.6515
V 2.6556 2.1189 7.4591
V 1.1854 -2.1189 1.9480
V 4.4942 -2.1189 2.7555
Zn 2.3701 0.6236 0.2056
Zn 0.5315 -0.6236 4.9091
Zn 3.3095 0.6236 4.4980
Zn 1.4708 -0.6236 9.2015
O 1.6235 2.2303 1.2935
O -0.5843 0.6907 5.8025
O 1.0012 2.6072 7.0553
O 1.4674 0.7961 3.7215
O 1.2543 -0.6907 1.0990
O 4.0561 2.2303 3.4100
O -0.3713 -0.7961 8.4250
O 4.2122 0.7961 0.9820
O -0.2151 -2.2303 5.9971
O 2.5866 0.6907 8.3081
O 2.3736 -0.7961 5.6856
O 2.8398 -2.6072 2.3518
O 4.4253 -0.6907 3.6045
O 2.2174 -2.2303 8.1135
```

Computed properties:
- SG: C2/c (15)
- ΔE to the lowest computed polymorph: 0 meV per atom
- ρ: 3.92 Mg/m³
- Raw formation energy: -2237 meV/atom
- Final energy: -11.8395 eV per atom